Entry from the Alexandria database: a relaxed BeV2Ge crystal (PBE).

Properties
ΔE to the lowest computed polymorph: 80 kJ/mol of formula units
formation enthalpy at 0 K: -3.5 kJ/mol of atoms
magnetic moment: 0.0 μB per cell

CIF file:
```
data_BeV2Ge
_chemical_formula_sum 'Be1 V2 Ge1'
_space_group_name_H-M_alt 'P 4/m m m'
_space_group_IT_number 123
_space_group_name_Hall '-P 4 2'
_cell_length_a 3.162
_cell_length_b 3.162
_cell_length_c 5.015
_cell_angle_alpha 90.00
_cell_angle_beta 90.00
_cell_angle_gamma 90.00
loop_
_atom_site_label
_atom_site_fract_x
_atom_site_fract_y
_atom_site_fract_z
_atom_site_occupancy
Be1 0.000 0.000 0.000 1
V1 0.500 0.500 0.236 1
Ge1 0.000 0.000 0.500 1
```